[1]
PBE SrCa2MgAs, relaxed; symmetry = P4/mmm, No. 123; calculated formation energy = -459 meV/atom; VASP energy = -2.845 eV per atom; Fermi-level density of states = 4.48 states/eV/f.u.
1.0
5.659 0.000 0.000
0.000 5.659 0.000
0.000 0.000 6.022
Mg Ca Sr As
1 2 1 1
Direct
0.500 0.500 0.500 Mg
0.000 0.500 0.000 Ca
0.500 0.000 0.000 Ca
0.000 0.000 0.500 Sr
0.000 0.000 0.000 As

[2]
PBE CaMg2TaAs, relaxed; symmetry = P4/mmm, No. 123; calculated formation energy = 1526 meV/atom; VASP energy = -2.812 eV per atom; Fermi-level density of states = 5.01 states/eV/f.u.
1.0
-4.984 -0.297 1.288
-0.377 -4.346 -2.462
1.263 -2.547 4.302
Mg Ca Ta As
2 1 1 1
Direct
0.000 0.000 0.500 Mg
0.500 0.000 0.000 Mg
0.000 0.000 0.000 Ca
0.500 0.500 0.500 Ta
0.000 0.500 0.000 As

[3]
PBE Ca4MgU3As8, relaxed; symmetry = R-3m, No. 166; calculated formation energy = -918 meV/atom; VASP energy = -5.960 eV per atom; Fermi-level density of states = 18.81 states/eV/f.u.
1.0
8.270 0.000 0.000
0.000 8.346 0.047
-4.135 -4.131 5.851
As U Ca Mg
8 3 4 1
Direct
0.256 0.269 0.512 As
0.245 0.727 0.982 As
0.245 0.727 0.490 As
0.755 0.273 0.510 As
0.263 0.273 0.018 As
0.744 0.731 0.488 As
0.755 0.273 0.018 As
0.737 0.727 0.982 As
0.000 0.500 0.500 U
0.500 0.500 0.500 U
0.500 0.500 0.000 U
0.000 0.000 0.500 Ca
0.500 0.000 0.500 Ca
0.000 0.000 0.000 Ca
0.500 0.000 0.000 Ca
0.000 0.500 0.000 Mg